1.
Computed, not measured: a relaxed LiHoInGa crystal at the PBE level of DFT.

E_form (meV per atom): -394
Magnetic moment (μB/cell): 0.0
Fermi-level density of states (states/eV per atom): 0.280
Electronic total energy (eV for the cell shown): -55.335

a b c (Å): 7.028 7.028 7.028
angles (deg): 90.00 90.00 90.00
Space group F-43m (No. 216)
Unique sites:
Li 0.000 0.000 0.000 (multiplicity 4)
Ho 0.000 0.000 0.500 (multiplicity 4)
In 0.250 0.250 0.750 (multiplicity 4)
Ga 0.250 0.250 0.250 (multiplicity 4)

=====

2.
Computed, not measured: a relaxed NaHoInGa crystal at the PBE level of DFT.

E_form (meV per atom): -255
Magnetic moment (μB/cell): 0.0
Fermi-level density of states (states/eV per atom): 0.361
Electronic total energy (eV for the cell shown): -50.728

a b c (Å): 7.275 7.275 7.275
angles (deg): 90.00 90.00 90.00
Space group F-43m (No. 216)
Unique sites:
Na 0.000 0.000 0.000 (multiplicity 4)
Ho 0.000 0.000 0.500 (multiplicity 4)
In 0.250 0.250 0.750 (multiplicity 4)
Ga 0.250 0.250 0.250 (multiplicity 4)

=====

3.
Computed, not measured: a relaxed NdHoInGa crystal at the PBE level of DFT.

E_form (meV per atom): -520
Magnetic moment (μB/cell): 0.0
Fermi-level density of states (states/eV per atom): 0.534
Electronic total energy (eV for the cell shown): -17.191
Energy relative to the lowest polymorph listed for this composition (meV per atom): 0

a b c (Å): 3.691 3.691 7.557
angles (deg): 90.00 90.00 90.00
Space group P4mm (No. 99)
Unique sites:
Nd 0.000 0.000 0.000 (multiplicity 1)
Ho 0.000 0.000 0.472 (multiplicity 1)
In 0.500 0.500 0.723 (multiplicity 1)
Ga 0.500 0.500 0.251 (multiplicity 1)